(1)
Computed, not measured: a relaxed structure of HfVSi at the GGA-PBE level of DFT.

a b c (Å): 3.661 3.661 7.174
angles (deg): 90.00 90.00 90.00
Space group P4/nmm (No. 129, origin choice 2)
Symmetry-distinct sites (fractional):
1 Hf 0.250 0.250 0.139
2 V 0.250 0.750 0.500
3 Si 0.250 0.250 0.748

Values from the calculation:
Its energy relative to the elements, uncorrected is -2.20 eV/f.u.



(2)
Computed, not measured: a relaxed structure of Hf3VSi at the GGA-PBE level of DFT.

a b c (Å): 4.784 4.784 4.784
angles (deg): 90.00 90.00 90.00
Space group Pm-3m (No. 221)
Symmetry-distinct sites (fractional):
1 Hf 0.000 0.000 0.500
2 V 0.000 0.000 0.000
3 Si 0.500 0.500 0.500

Values from the calculation:
As for the energy relative to the lowest polymorph listed for this composition: 0.274 eV/atom. Its energy relative to the elements, uncorrected is 4.11 eV/f.u.



(3)
Computed, not measured: a relaxed structure of Hf3VSi at the GGA-PBE level of DFT.

a b c (Å): 4.882 4.882 4.882
angles (deg): 90.00 90.00 90.00
Space group Pm-3m (No. 221)
Symmetry-distinct sites (fractional):
1 Hf 0.000 0.000 0.500
2 V 0.500 0.500 0.500
3 Si 0.000 0.000 0.000

Values from the calculation:
As for the energy relative to the lowest polymorph listed for this composition: 0.000 eV/atom. Its energy relative to the elements, uncorrected is 2.74 eV/f.u.



(4)
Computed, not measured: a relaxed structure of HfV3Si at the GGA-PBE level of DFT.

a b c (Å): 4.429 4.429 4.429
angles (deg): 90.00 90.00 90.00
Space group Pm-3m (No. 221)
Symmetry-distinct sites (fractional):
1 Hf 0.000 0.000 0.000
2 V 0.000 0.500 0.500
3 Si 0.500 0.500 0.500

Values from the calculation:
As for the energy relative to the lowest polymorph listed for this composition: 0.750 eV/atom. Its energy relative to the elements, uncorrected is 2.36 eV/f.u.



(5)
Computed, not measured: a relaxed structure of HfVSi at the GGA-PBE level of DFT.

a b c (Å): 8.457 5.177 8.668
angles (deg): 90.00 90.00 90.00
Space group Amm2 (No. 38)
Symmetry-distinct sites (fractional):
1 Hf 0.186 0.000 0.000
2 Hf 0.311 0.000 0.664
3 V 0.000 0.000 0.493
4 V 0.500 0.000 0.162
5 V 0.500 0.237 0.922
6 Si 0.000 0.239 0.742
7 Si 0.260 0.000 0.341

Values from the calculation:
Its energy relative to the elements, uncorrected is -1.37 eV/f.u.



(6)
Computed, not measured: a relaxed structure of Hf2VSi2 at the GGA-PBE level of DFT.

a b c (Å): 6.620 6.620 3.784
angles (deg): 90.00 90.00 90.00
Space group P4/mbm (No. 127)
Symmetry-distinct sites (fractional):
1 Hf 0.175 0.325 0.000
2 V 0.000 0.000 0.500
3 Si 0.129 0.629 0.500

Values from the calculation:
As for the energy relative to the lowest polymorph listed for this composition: 0.000 eV/atom. Its energy relative to the elements, uncorrected is -3.65 eV/f.u.



(7)
Computed, not measured: a relaxed structure of Hf2VSi2 at the GGA-PBE level of DFT.

a b c (Å): 4.030 4.030 11.601
angles (deg): 90.00 90.00 90.00
Space group I4/mmm (No. 139)
Symmetry-distinct sites (fractional):
1 Hf 0.000 0.500 0.250
2 V 0.000 0.000 0.000
3 Si 0.000 0.000 0.404

Values from the calculation:
As for the energy relative to the lowest polymorph listed for this composition: 0.802 eV/atom. Its energy relative to the elements, uncorrected is 0.36 eV/f.u.



(8)
Computed, not measured: a relaxed structure of Hf3V4Si4 at the GGA-PBE level of DFT.

a b c (Å): 3.576 7.292 13.406
angles (deg): 90.00 90.00 90.00
Space group Immm (No. 71)
Symmetry-distinct sites (fractional):
1 Hf 0.000 0.000 0.000
2 Hf 0.000 0.500 0.118
3 V 0.000 0.301 0.323
4 Si 0.000 0.000 0.229
5 Si 0.000 0.193 0.500

Values from the calculation:
Its energy relative to the elements, uncorrected is -6.33 eV/f.u.



What is the formula in the second record? Hf3VSi